No. 1
DFT (PBE) results for a relaxed structure of Mg2AgPd.

Cell lengths 3.086, 3.086, 8.987 Å; angles 78.87, 78.87, 59.35 degrees
Fractional coordinates of all 4 atoms:
Ag  0.498  0.498  0.500
Pd  0.666  0.666  0.000
Mg  0.255  0.255  0.234
Mg  0.080  0.080  0.766

Calculated values
- energy of formation from the pure elements (eV per atom) = -0.3220
- Fermi-level density of states (states/eV per cell) = 1.6
- space-group type = Cm

No. 2
DFT (PBE) results for a relaxed structure of Na2ZnP.

Cell lengths 4.861, 4.861, 4.861 Å; angles 60.00, 60.00, 60.00 degrees
Fractional coordinates of all 4 atoms:
Na  0.750  0.750  0.750
Na  0.250  0.250  0.250
Zn  0.500  0.500  0.500
P  0.000  0.000  0.000

Calculated values
- relative energy among the computed polymorphs (meV per atom) = 0
- energy of formation from the pure elements (eV per atom) = 0.0032
- Fermi-level density of states (states/eV per cell) = 2.0
- space-group type = Fm-3m

No. 3
DFT (PBE) results for a relaxed structure of Fe2PtCl.

Cell lengths 5.124, 5.124, 5.124 Å; angles 147.51, 113.64, 75.85 degrees
Each line ends with the local moment (μB).
Fractional coordinates of all 4 atoms:
Cl  0.250  0.750  0.500  0.15
Fe  0.485  0.485  0.000  3.09
Pt  0.750  0.250  0.500  0.51
Fe  0.015  0.015  0.000  3.09

Calculated values
- relative energy among the computed polymorphs (meV per atom) = 536
- raw formation energy (eV per atom) = 0.4786
- Fermi-level density of states (states/eV per cell) = 4.6
- space-group type = Immm

No. 4
DFT (PBE) results for a relaxed structure of Na2TbIrO6.

Cell lengths 5.650, 5.759, 8.079 Å; angles 90.00, 90.41, 90.00 degrees
Fractional coordinates of all 20 atoms:
Ir  0.000  0.500  0.000
Na  0.491  0.462  0.250
O  0.681  0.274  0.548
O  0.819  0.774  0.952
Na  0.991  0.038  0.750
O  0.414  0.975  0.728
O  0.726  0.314  0.957
O  0.914  0.525  0.228
O  0.319  0.726  0.452
O  0.774  0.814  0.543
O  0.586  0.025  0.272
Ir  0.500  0.000  0.500
O  0.274  0.686  0.043
O  0.181  0.226  0.048
O  0.086  0.475  0.772
Na  0.509  0.538  0.750
Na  0.009  0.962  0.250
O  0.226  0.186  0.457
Tb  0.000  0.500  0.500
Tb  0.500  0.000  0.000

Calculated values
- raw formation energy (eV per atom) = -1.6579
- Fermi-level density of states (states/eV per cell) = 11.6
- space-group type = P2_1/c

No. 5
DFT (PBE) results for a relaxed structure of LaGa4AgPd2.

Cell lengths 4.367, 4.367, 9.509 Å; angles 76.73, 76.73, 60.00 degrees
Fractional coordinates of all 8 atoms:
Ga  0.877  0.877  0.370
Ga  0.600  0.600  0.200
Pd  0.235  0.235  0.294
Ga  0.400  0.400  0.800
La  0.000  0.000  0.000
Ag  0.500  0.500  0.500
Ga  0.123  0.123  0.630
Pd  0.765  0.765  0.706

Calculated values
- energy of formation from the pure elements (eV per atom) = -0.5135
- Fermi-level density of states (states/eV per cell) = 2.8
- space-group type = R-3m

No. 6
DFT (PBE) results for a relaxed structure of V2AgTe.

Cell lengths 3.892, 3.892, 10.238 Å; angles 79.04, 79.04, 90.00 degrees
Fractional coordinates of all 8 atoms:
Ag  0.500  0.500  0.000
V  0.094  0.625  0.250
Te  0.000  0.000  0.000
V  0.656  0.125  0.250
Ag  0.250  0.750  0.500
V  0.875  0.906  0.750
Te  0.750  0.250  0.500
V  0.375  0.344  0.750

Calculated values
- raw formation energy (eV per atom) = 0.6464
- Fermi-level density of states (states/eV per cell) = 9.3
- space-group type = I-42d

No. 7
DFT (PBE) results for a relaxed structure of Be2InCl.

Cell lengths 7.109, 7.109, 7.109 Å; angles 152.09, 152.09, 39.88 degrees
Fractional coordinates of all 4 atoms:
Be  0.250  0.750  0.500
Cl  0.500  0.500  0.000
In  0.750  0.250  0.500
Be  0.000  0.000  0.000

Calculated values
- relative energy among the computed polymorphs (meV per atom) = 499
- raw formation energy (eV per atom) = 0.6932
- Fermi-level density of states (states/eV per cell) = 2.5
- space-group type = I-4m2

No. 8
DFT (PBE) results for a relaxed structure of AlPS2F.

Cell lengths 4.475, 4.475, 4.781 Å; angles 90.00, 90.00, 90.00 degrees
Each line ends with the local moment (μB).
Fractional coordinates of all 5 atoms:
S  0.500  0.000  0.000  0.17
P  0.000  0.000  0.500  -0.01
F  0.500  0.500  0.500  0.02
Al  0.000  0.000  0.000  0.00
S  0.000  0.500  0.000  0.17

Calculated values
- relative energy among the computed polymorphs (meV per atom) = 0
- raw formation energy (eV per atom) = 0.2487
- Fermi-level density of states (states/eV per cell) = 3.9
- space-group type = P4/mmm

No. 9
DFT (PBE) results for a relaxed structure of Tl3AgI5.

Cell lengths 10.719, 10.719, 13.534 Å; angles 90.00, 90.00, 120.00 degrees
Fractional coordinates of all 36 atoms:
I  0.667  0.333  0.144
I  0.992  0.238  0.250
I  0.246  0.008  0.250
Ag  0.000  0.000  0.621
I  0.667  0.333  0.356
I  0.755  0.000  0.000
Tl  0.000  0.364  0.000
I  0.333  0.667  0.400
I  0.333  0.667  0.856
I  0.754  0.762  0.750
I  0.762  0.754  0.250
Tl  0.611  0.962  0.250
I  0.245  0.245  0.000
Ag  0.000  0.000  0.379
I  0.008  0.246  0.750
Tl  0.364  0.000  0.500
Ag  0.000  0.000  0.121
I  0.333  0.667  0.100
I  0.238  0.992  0.750
Tl  0.649  0.038  0.750
Tl  0.364  0.000  0.000
I  0.000  0.755  0.500
Tl  0.636  0.636  0.500
I  0.000  0.755  0.000
I  0.245  0.245  0.500
Tl  0.962  0.611  0.750
I  0.667  0.333  0.600
Tl  0.038  0.649  0.250
Tl  0.389  0.351  0.750
Ag  0.000  0.000  0.879
I  0.667  0.333  0.900
Tl  0.000  0.364  0.500
Tl  0.351  0.389  0.250
I  0.333  0.667  0.644
I  0.755  0.000  0.500
Tl  0.636  0.636  0.000

Calculated values
- raw formation energy (eV per atom) = -0.4706
- space-group type = P-62c

No. 10
DFT (PBE) results for a relaxed structure of Co2AgTe.

Cell lengths 4.257, 4.257, 5.320 Å; angles 78.17, 78.17, 43.69 degrees
Each line ends with the local moment (μB).
Fractional coordinates of all 4 atoms:
Co  0.005  0.005  0.964  1.04
Ag  0.250  0.250  0.250  -0.02
Co  0.495  0.495  0.536  1.04
Te  0.750  0.750  0.750  -0.02

Calculated values
- raw formation energy (eV per atom) = 0.4769
- Fermi-level density of states (states/eV per cell) = 4.4
- space-group type = C2/m

No. 11
DFT (PBE) results for a relaxed structure of Ba4SrMg.

Cell lengths 4.215, 7.014, 12.133 Å; angles 82.04, 80.00, 72.51 degrees
Fractional coordinates of all 6 atoms:
Ba  0.353  0.436  0.859
Ba  0.647  0.564  0.141
Mg  0.000  0.000  0.000
Sr  0.500  0.500  0.500
Ba  0.161  0.002  0.675
Ba  0.839  0.998  0.325

Calculated values
- relative energy among the computed polymorphs (meV per atom) = 117
- energy of formation from the pure elements (eV per atom) = 0.1124
- Fermi-level density of states (states/eV per cell) = 8.4
- space-group type = C2/m

No. 12
DFT (PBE) results for a relaxed structure of CeSe2Br2.

Cell lengths 7.336, 7.518, 7.613 Å; angles 85.12, 61.19, 79.83 degrees
Each line ends with the local moment (μB).
Fractional coordinates of all 10 atoms:
Ce  0.850  0.500  0.300  0.21
Br  0.934  0.270  0.589  -0.01
Se  0.070  0.204  0.000  -0.02
Se  0.930  0.796  0.000  -0.02
Se  0.293  0.391  0.000  -0.02
Br  0.066  0.730  0.411  -0.01
Se  0.707  0.609  0.000  -0.02
Br  0.523  0.270  0.411  -0.01
Br  0.477  0.730  0.589  -0.01
Ce  0.150  0.500  0.700  0.21

Calculated values
- raw formation energy (eV per atom) = -1.3289
- Fermi-level density of states (states/eV per cell) = 1.2
- space-group type = C2/m